## NaRePt3 (GGA-PBEsol)

Data for NaRePt3 after structural relaxation.

Summary:
As for the raw total energy: -31.00 eV for the cell shown. For the formation energy, the calculation gives 924 meV/atom.

Cell lengths 4.814, 4.814, 4.814 Å; angles 90.00, 90.00, 90.00 degrees
Atoms (fractional coordinates):
Re: 0.000 0.000 0.000
Pt: 0.000 0.500 0.000
Pt: 0.000 0.000 0.500
Pt: 0.500 0.000 0.000
Na: 0.500 0.500 0.500